La2HfTe: relaxed, PBE.

Calculated values
The calculation puts the spin magnetization at 0.00 μB/cell. The electronic total energy comes out at -5.797 eV per atom. For the formation energy without anion corrections, the calculation gives -59 meV/atom.

Unit cell a=8.770 b=8.770 c=6.381 alpha=90.00 beta=90.00 gamma=90.00
Space group I-42d (No. 122)
Asymmetric unit:
La 0.244 0.250 0.125 [8 per cell]
Hf 0.000 0.000 0.500 [4 per cell]
Te 0.000 0.000 0.000 [4 per cell]



K2SbH6: relaxed, PBE.

Calculated values
The calculation puts the spin magnetization at 0.00 μB/cell. The electronic total energy comes out at -2.802 eV per atom.

Unit cell a=8.390 b=8.390 c=8.390 alpha=90.00 beta=90.00 gamma=90.00
Space group Fm-3m (No. 225)
Asymmetric unit:
K 0.250 0.250 0.250 [8 per cell]
Sb 0.000 0.000 0.000 [4 per cell]
H 0.000 0.000 0.230 [24 per cell]



LaTe2P: relaxed, PBE.

Calculated values
The calculation puts the spin magnetization at 0.00 μB/cell. The electronic total energy comes out at -4.839 eV per atom. For the formation energy without anion corrections, the calculation gives -684 meV/atom.

Unit cell a=4.374 b=3.987 c=6.635 alpha=90.00 beta=105.38 gamma=90.00
Space group P2/m (No. 10)
Asymmetric unit:
La 0.000 0.000 0.000 [1 per cell]
Te 0.369 0.500 0.736 [2 per cell]
P 0.000 0.000 0.500 [1 per cell]



Ta4Se8SI8: relaxed, PBE.

Calculated values
The calculation puts the spin magnetization at 0.00 μB/cell. The electronic total energy comes out at -4.935 eV per atom. For the formation energy without anion corrections, the calculation gives -563 meV/atom.

Unit cell a=15.242 b=14.673 c=14.274 alpha=90.00 beta=90.00 gamma=90.00
Space group Pna2_1 (No. 33)
Asymmetric unit:
Ta 0.184 0.206 0.188 [4 per cell]
Ta 0.187 0.002 0.293 [4 per cell]
Ta 0.205 0.306 0.395 [4 per cell]
Ta 0.208 0.105 0.500 [4 per cell]
Se 0.057 0.084 0.202 [4 per cell]
Se 0.070 0.310 0.280 [4 per cell]
Se 0.075 0.006 0.437 [4 per cell]
Se 0.089 0.237 0.513 [4 per cell]
Se 0.180 0.040 0.110 [4 per cell]
Se 0.200 0.384 0.227 [4 per cell]
Se 0.209 0.927 0.462 [4 per cell]
Se 0.229 0.269 0.577 [4 per cell]
S 0.243 0.153 0.339 [4 per cell]
I 0.110 0.265 0.021 [4 per cell]
I 0.110 0.837 0.244 [4 per cell]
I 0.114 0.843 0.892 [4 per cell]
I 0.116 0.582 0.031 [4 per cell]
I 0.143 0.452 0.763 [4 per cell]
I 0.146 0.714 0.627 [4 per cell]
I 0.156 0.055 0.680 [4 per cell]
I 0.157 0.479 0.457 [4 per cell]